Record 1
InSbOF2 after structural relaxation. Source: Alexandria, functional PBEsol.

Values from the calculation:
ΔE_f (raw) = -1.4690 eV/atom
DOS at the Fermi energy = 0.23 states/eV per cell

a = 4.2413 Å, b = 4.5469 Å, c = 4.5469 Å
α = 90.00°, β = 90.00°, γ = 90.00°
Last column: nearest neighbours and their distance in Å.
Element x y z (fractional)
F  0.0000  0.0000  0.5000  2 Sb 2.27
O  0.5000  0.0000  0.0000  2 Sb 2.12
Sb  0.0000  0.0000  0.0000  2 O 2.12, 4 F 2.27
F  0.0000  0.5000  0.0000  2 Sb 2.27
In  0.5000  0.5000  0.5000  8 F 3.11, 4 O 3.22

---

Record 2
InSnO2F after structural relaxation. Source: Alexandria, functional PBEsol.

Values from the calculation:
ΔE_f (raw) = -1.3763 eV/atom
DOS at the Fermi energy = 1.36 states/eV per cell

a = 4.0492 Å, b = 4.0492 Å, c = 4.3520 Å
α = 90.00°, β = 90.00°, γ = 90.00°
Last column: nearest neighbours and their distance in Å.
Element x y z (fractional)
Sn  0.0000  0.0000  0.0000  4 O 2.02, 2 F 2.18
In  0.5000  0.5000  0.5000  4 F 2.86, 8 O 2.97
O  0.0000  0.5000  0.0000  2 Sn 2.02
F  0.0000  0.0000  0.5000  2 Sn 2.18
O  0.5000  0.0000  0.0000  2 Sn 2.02

---

Record 3
TaInO2F after structural relaxation. Source: Alexandria, functional PBEsol.

Values from the calculation:
ΔE_f (raw) = -1.9911 eV/atom
DOS at the Fermi energy = 2.17 states/eV per cell

a = 4.0093 Å, b = 4.0093 Å, c = 4.2669 Å
α = 90.00°, β = 90.00°, γ = 90.00°
Last column: nearest neighbours and their distance in Å.
Element x y z (fractional)
In  0.5000  0.5000  0.5000  4 F 2.83, 8 O 2.93
O  0.0000  0.5000  0.0000  2 Ta 2.00
O  0.5000  0.0000  0.0000  2 Ta 2.00
Ta  0.0000  0.0000  0.0000  4 O 2.00, 2 F 2.13
F  0.0000  0.0000  0.5000  2 Ta 2.13

---

Record 4
TaInO2F after structural relaxation. Source: Alexandria, functional PBEsol.

Values from the calculation:
ΔE_f (raw) = -0.3961 eV/atom
DOS at the Fermi energy = 4.66 states/eV per cell

a = 4.0279 Å, b = 4.1622 Å, c = 4.1622 Å
α = 90.00°, β = 90.00°, γ = 90.00°
Last column: nearest neighbours and their distance in Å.
Element x y z (fractional)
O  0.0000  0.0000  0.5000  2 In 2.08
F  0.5000  0.0000  0.0000  2 In 2.01
In  0.0000  0.0000  0.0000  2 F 2.01, 4 O 2.08
Ta  0.5000  0.5000  0.5000  8 O 2.90, 4 F 2.94
O  0.0000  0.5000  0.0000  2 In 2.08